4
Lattice="3.7250 0.0000 0.0000 0.0000 3.7250 0.0000 0.0000 0.0000 10.4825" Properties=species:S:1:pos:R:3 comment="CaLaBr2 (PBE, relaxed)" dos_at_fermi_per_ev_fu=1.638 sg="No. 123" formation_energy_uncorrected_ev_per_atom=-1.143 pbc="T T T"
Ca 1.8625 1.8625 2.6206
Br 0.0000 0.0000 9.6284
Br 0.0000 0.0000 6.0953
La 1.8625 1.8625 7.8619